No. 1
The following is a DFT calculation (GGA-PBE) of a relaxed structure of ZrFe2Ir.

Lattice parameters (Å, degrees): 5.322 8.592 2.825 90.00 110.82 90.00
Element x y z (fractional)
Zr: 0.000 0.000 0.000
Zr: 0.500 0.500 0.000
Fe: 0.250 0.250 0.500
Fe: 0.250 0.750 0.500
Fe: 0.750 0.250 0.500
Fe: 0.750 0.750 0.500
Ir: 0.000 0.500 0.000
Ir: 0.500 0.000 0.000

## Properties
Its formation energy is -0.0552 eV per atom. The space group is No. 12.

=====

No. 2
The following is a DFT calculation (GGA-PBE) of a relaxed structure of Rb2Pu3PaO12.

Lattice parameters (Å, degrees): 7.910 7.910 7.910 59.95 59.95 59.95
Element x y z (fractional)
Rb: 0.148 0.148 0.148
Rb: 0.852 0.852 0.852
Pu: 0.000 0.500 0.500
Pu: 0.500 0.000 0.500
Pu: 0.500 0.500 0.000
Pa: 0.500 0.500 0.500
O: 0.174 0.570 0.570
O: 0.189 0.189 0.561
O: 0.189 0.561 0.189
O: 0.430 0.430 0.826
O: 0.430 0.826 0.430
O: 0.439 0.811 0.811
O: 0.561 0.189 0.189
O: 0.570 0.174 0.570
O: 0.570 0.570 0.174
O: 0.811 0.439 0.811
O: 0.811 0.811 0.439
O: 0.826 0.430 0.430

## Properties
As for the formation energy without anion corrections: -2.70 eV per atom. The space group is No. 166.

=====

No. 3
The following is a DFT calculation (GGA-PBE) of a relaxed structure of Y3Cu8Pd.

Lattice parameters (Å, degrees): 9.004 9.004 9.004 33.08 33.08 33.08
Element x y z (fractional)
Y: 0.000 0.000 0.000
Y: 0.130 0.130 0.130
Y: 0.609 0.609 0.609
Cu: 0.054 0.054 0.565
Cu: 0.054 0.565 0.054
Cu: 0.060 0.560 0.560
Cu: 0.308 0.308 0.308
Cu: 0.560 0.060 0.560
Cu: 0.560 0.560 0.060
Cu: 0.565 0.054 0.054
Cu: 0.809 0.809 0.809
Pd: 0.491 0.491 0.491

## Properties
Its formation energy is -0.2491 eV per atom. The space group is No. 160.